Record 1
# Nd7Dy4Th PBE-GGA optimized geometry
data_Nd7Dy4Th
_chemical_formula_sum 'Nd7 Dy4 Th1'
_cell_length_a 6.3355
_cell_length_b 7.3111
_cell_length_c 9.0191
_cell_angle_alpha 90.11
_cell_angle_beta 103.70
_cell_angle_gamma 90.02
_space_group_name_H-M_alt 'P -1'
_space_group_IT_number 2
loop_
_space_group_symop_operation_xyz
'x,y,z'
'-x,-y,-z'
loop_
_atom_site_label
_atom_site_type_symbol
_atom_site_fract_x
_atom_site_fract_y
_atom_site_fract_z
_atom_site_occupancy
Nd1 Nd 0.0000 0.0000 0.0000 1
Nd2 Nd 0.2191 0.4999 0.6708 1
Nd3 Nd 0.2770 0.2511 0.3319 1
Nd4 Nd 0.4994 0.2527 0.9982 1
Dy1 Dy 0.2194 0.0001 0.6630 1
Dy2 Dy 0.2746 0.7510 0.3301 1
Th1 Th 0.0000 0.5000 0.0000 1
# Excess energy over the best structure of this formula in the dataset (eV/atom): 0.000

---

Record 2
# Tl2Ag2HgBr6 PBE-GGA optimized geometry
data_Tl2Ag2HgBr6
_chemical_formula_sum 'Tl4 Ag4 Hg2 Br12'
_cell_length_a 14.8594
_cell_length_b 7.7258
_cell_length_c 7.4814
_cell_angle_alpha 90.00
_cell_angle_beta 120.21
_cell_angle_gamma 90.00
_space_group_name_H-M_alt 'C 1 2/m 1'
_space_group_IT_number 12
loop_
_space_group_symop_operation_xyz
'x,y,z'
'-x,-y,-z'
'-x,y,-z'
'x,-y,z'
'x+1/2,y+1/2,z'
'-x+1/2,-y+1/2,-z'
'-x+1/2,y+1/2,-z'
'x+1/2,-y+1/2,z'
loop_
_atom_site_label
_atom_site_type_symbol
_atom_site_fract_x
_atom_site_fract_y
_atom_site_fract_z
_atom_site_occupancy
Tl1 Tl 0.2462 0.0000 0.2973 1
Ag1 Ag 0.0709 0.5000 0.9152 1
Hg1 Hg 0.0000 0.0000 0.5000 1
Br1 Br 0.0622 0.2484 0.3139 1
Br2 Br 0.2302 0.0000 0.8444 1
# Uncorrected formation energy (meV per atom): -509

---

Record 3
# TlIr2Pt PBE-GGA optimized geometry
data_TlIr2Pt
_chemical_formula_sum 'Tl4 Ir8 Pt4'
_cell_length_a 4.0043
_cell_length_b 4.0043
_cell_length_c 18.8041
_cell_angle_alpha 90.00
_cell_angle_beta 90.00
_cell_angle_gamma 90.00
_space_group_name_H-M_alt 'I -4 2 d'
_space_group_IT_number 122
_space_group_name_Hall 'I -4 2bw'
loop_
_atom_site_label
_atom_site_type_symbol
_atom_site_fract_x
_atom_site_fract_y
_atom_site_fract_z
_atom_site_occupancy
Tl1 Tl 0.0000 0.0000 0.0000 1
Ir1 Ir 0.1897 0.2500 0.6250 1
Pt1 Pt 0.0000 0.0000 0.5000 1
# Excess energy over the best structure of this formula in the dataset (eV/atom): 0.286